{"formula": "CeDy8Ho2", "functional": "PBE", "state": "relaxed", "final_energy_ev_per_atom": -4.544, "n_ef_per_ev_atom": 1.860, "delta_e_f_ev_per_atom": 0.175, "polymorph_energy_mev_per_atom": 137, "cell": [[9.531, -3.444, 0.000], [9.531, 3.444, 0.000], [-0.282, 0.000, 5.532]], "species": ["Ce", "Dy", "Dy", "Dy", "Dy", "Dy", "Dy", "Dy", "Dy", "Ho", "Ho"], "frac_coords": [[0.000, 0.000, 0.000], [0.133, 0.602, 0.267], [0.187, 0.187, 0.233], [0.398, 0.867, 0.733], [0.454, 0.454, 0.762], [0.546, 0.546, 0.238], [0.602, 0.133, 0.267], [0.813, 0.813, 0.767], [0.867, 0.398, 0.733], [0.284, 0.284, 0.750], [0.716, 0.716, 0.250]]}